Density functional theory data (GGA+U) for crystalline Mo2P3O13 at its relaxed geometry.

a = 9.1972 Å, b = 9.1972 Å, c = 9.0113 Å
α = 109.94°, β = 109.94°, γ = 108.44°
With the nearest neighbours (Å) after each atom.
Fractional positions:
Mo1 0.0923 0.9077 0.5000  1 O 1.70
Mo2 0.4203 0.6034 0.1663  1 O 1.70
Mo3 0.6034 0.4203 0.6663  1 O 1.70
Mo4 0.9077 0.0923 0.0000  1 O 1.70
P1 0.0933 0.5201 0.2644  4 O 1.50-1.61
P2 0.4176 0.9939 0.3959  4 O 1.50-1.62
P3 0.5201 0.0933 0.7644  4 O 1.50-1.61
P4 0.7479 0.7661 0.0810  4 O 1.52-1.57
P5 0.7661 0.7479 0.5810  4 O 1.52-1.57
P6 0.9939 0.4176 0.8959  4 O 1.50-1.62
O1 0.0780 0.6424 0.4108  1 P 1.50
O2 0.0976 0.1064 0.5670  1 Mo 1.70
O3 0.1064 0.0976 0.0670  1 Mo 1.70
O4 0.1842 0.5088 0.9345  1 P 1.53
O5 0.2283 0.9425 0.3720  1 P 1.57
O6 0.2828 0.5679 0.3030  1 P 1.53
O7 0.3212 0.9900 0.7109  1 P 1.57
O8 0.4101 0.4258 0.6058  1 Mo 1.70
O9 0.4160 0.8587 0.2438  1 P 1.50
O10 0.4258 0.4101 0.1058  1 Mo 1.70
O11 0.5088 0.1842 0.4345  1 P 1.53
O12 0.5229 0.9919 0.5805  2 P 1.61-1.62
O13 0.5632 0.7016 0.0576  1 P 1.52
O14 0.5679 0.2828 0.8030  1 P 1.53
O15 0.6424 0.0780 0.9108  1 P 1.50
O16 0.6489 0.7541 0.4193  1 P 1.52
O17 0.7016 0.5632 0.5576  1 P 1.52
O18 0.7541 0.6489 0.9193  1 P 1.52
O19 0.7831 0.8787 0.7592  1 P 1.56
O20 0.8188 0.9568 0.1049  1 P 1.57
O21 0.8587 0.4160 0.7438  1 P 1.50
O22 0.8787 0.7831 0.2592  1 P 1.56
O23 0.9425 0.2283 0.8720  1 P 1.57
O24 0.9568 0.8188 0.6049  1 P 1.57
O25 0.9900 0.3212 0.2109  1 P 1.57
O26 0.9919 0.5229 0.0805  2 P 1.61-1.62

Energy, eV per atom: -7.1884